Entry 1:
La2PmOs: optimized geometry, PBE.

Summary:
- relative energy among the computed polymorphs (eV per atom) = 0.000
- size of the total moment (μB per cell) = 0.0
- SG = Pnma, No. 62
- formation energy (meV per atom) = -140

Unit cell a=7.485 b=9.885 c=6.530 alpha=90.00 beta=90.00 gamma=90.00
Fractional positions:
La: 0.174 0.068 0.172
La: 0.174 0.432 0.172
La: 0.326 0.568 0.672
La: 0.326 0.932 0.672
La: 0.674 0.068 0.328
La: 0.674 0.432 0.328
La: 0.826 0.568 0.828
La: 0.826 0.932 0.828
Pm: 0.044 0.250 0.647
Pm: 0.456 0.750 0.147
Pm: 0.544 0.250 0.853
Pm: 0.956 0.750 0.353
Os: 0.113 0.750 0.941
Os: 0.387 0.250 0.441
Os: 0.613 0.750 0.559
Os: 0.887 0.250 0.059

=====

Entry 2:
CuBi3I: optimized geometry, PBE.

Summary:
- relative energy among the computed polymorphs (eV per atom) = 0.000
- size of the total moment (μB per cell) = 0.0
- SG = Pm-3m, No. 221
- uncorrected formation energy (meV per atom) = 407

Unit cell a=5.372 b=5.372 c=5.372 alpha=90.00 beta=90.00 gamma=90.00
Fractional positions:
Cu: 0.000 0.000 0.000
Bi: 0.000 0.000 0.500
Bi: 0.000 0.500 0.000
Bi: 0.500 0.000 0.000
I: 0.500 0.500 0.500